The following is a PBEsol calculation of a relaxed CaReSiTe2 crystal, from the Alexandria database.

Properties
DOS(E_F) in states/eV per atom: 1.006
ΔE_f (raw) in eV/atom: 0.150
Crystal system: tetragonal

Structure (extended XYZ):
```
5
Lattice="-2.1234 3.2703 -2.2891 -2.4734 -3.7643 -3.0836 -4.1361 -0.1960 3.5568" Properties=species:S:1:pos:R:3 pbc="T T T"
Si -1.0617 1.6351 -1.1445
Te -1.2367 -1.8822 -1.5418
Re 0.0000 0.0000 0.0000
Ca -4.3664 -0.3450 -0.9079
Te -2.0681 -0.0980 1.7784
```